This record from Alexandria describes a geometry-optimized KMg2Tc structure. The functional is PBE.

```
4
Lattice="-1.015 1.717 2.083 -1.601 -2.175 1.013 8.086 -2.975 6.393" Properties=species:S:1:pos:R:3 pbc="T T T"
K 4.559 -2.388 6.186
Mg 0.285 -0.105 0.226
Mg 0.920 -1.049 3.310
Tc 3.748 -1.379 2.963
```

## Properties
ΔE to the lowest computed polymorph = 0.186 eV per atom
E = -12.08 eV/cell
Calculated formation energy = 0.643 eV/atom